Entry 1:
{
  "formula": "Cs3KTl8",
  "functional": "PBE",
  "state": "optimized geometry",
  "lattice": [[7.0394, 0.0000, 0.0000], [-3.5197, 6.0963, 0.0000], [0.0000, 0.0000, 10.7814]],
  "species": ["Cs", "Cs", "Cs", "K", "Tl", "Tl", "Tl", "Tl", "Tl", "Tl", "Tl", "Tl"],
  "fractional_positions": [[0.0000, 0.0000, 0.0000], [0.0000, 0.0000, 0.3879], [0.3333, 0.6667, 0.8800], [0.3333, 0.6667, 0.5043], [0.0053, 0.5026, 0.1994], [0.3458, 0.1729, 0.6911], [0.4974, 0.5026, 0.1994], [0.4974, 0.9947, 0.1994], [0.6667, 0.3333, 0.4353], [0.6667, 0.3333, 0.9595], [0.8271, 0.1729, 0.6911], [0.8271, 0.6542, 0.6911]],
  "spacegroup": "P3m1 (156)",
  "vol_a3_per_atom": 38.56,
  "formation_enthalpy_0k_ev_per_atom": -0.088
}

Entry 2:
{
  "formula": "TbY5Ho2",
  "functional": "PBE",
  "state": "optimized geometry",
  "lattice": [[5.7695, 0.0000, 0.0000], [0.0000, 11.1955, 0.0000], [-2.4210, 0.0000, 8.1267]],
  "species": ["Tb", "Tb", "Y", "Y", "Y", "Y", "Y", "Y", "Y", "Y", "Y", "Y", "Ho", "Ho", "Ho", "Ho"],
  "fractional_positions": [[0.9996, 0.2500, 0.1508], [0.0004, 0.7500, 0.8492], [0.1663, 0.5764, 0.2089], [0.1663, 0.9236, 0.2089], [0.2681, 0.2500, 0.5790], [0.2990, 0.5790, 0.6221], [0.2990, 0.9210, 0.6221], [0.7010, 0.0790, 0.3779], [0.7010, 0.4210, 0.3779], [0.7319, 0.7500, 0.4210], [0.8337, 0.0764, 0.7911], [0.8337, 0.4236, 0.7911], [0.3880, 0.1168, 0.9638], [0.3880, 0.3832, 0.9638], [0.6120, 0.6168, 0.0362], [0.6120, 0.8832, 0.0362]],
  "spacegroup": "P2_1/m (11)",
  "vol_a3_per_atom": 32.81,
  "formation_enthalpy_0k_ev_per_atom": 0.169
}

Entry 3:
{
  "formula": "Ho3Al4Cd2",
  "functional": "PBE",
  "state": "optimized geometry",
  "lattice": [[5.3710, -2.3257, 0.0000], [5.3710, 2.3257, 0.0000], [-3.8295, 0.0000, 7.9285]],
  "species": ["Ho", "Ho", "Ho", "Al", "Al", "Al", "Al", "Cd", "Cd"],
  "fractional_positions": [[0.0000, 0.0000, 0.0000], [0.3351, 0.3351, 0.3308], [0.6649, 0.6649, 0.6692], [0.0466, 0.0466, 0.3839], [0.2663, 0.2663, 0.9375], [0.7337, 0.7337, 0.0625], [0.9534, 0.9534, 0.6161], [0.3847, 0.3847, 0.7194], [0.6153, 0.6153, 0.2806]],
  "spacegroup": "C2/m (12)",
  "vol_a3_per_atom": 22.01,
  "formation_enthalpy_0k_ev_per_atom": -0.406
}

Entry 4:
{
  "formula": "Sr3ZrFe",
  "functional": "PBE",
  "state": "optimized geometry",
  "lattice": [[5.6064, 0.0000, 0.0000], [0.0000, 5.6064, 0.0000], [0.0000, 0.0000, 5.6064]],
  "species": ["Sr", "Sr", "Sr", "Zr", "Fe"],
  "fractional_positions": [[0.0000, 0.0000, 0.5000], [0.0000, 0.5000, 0.0000], [0.5000, 0.0000, 0.0000], [0.5000, 0.5000, 0.5000], [0.0000, 0.0000, 0.0000]],
  "spacegroup": "Pm-3m (221)",
  "vol_a3_per_atom": 35.24,
  "formation_enthalpy_0k_ev_per_atom": 1.044
}